No. 1
# CoHIN2

A geometry-optimized CoHIN2 structure (PBE-GGA, the Alexandria database).

DFT total energy, eV/atom: -4.52
Crystal system: tetragonal

abc: 3.455 3.455 8.570
angles: 90.00 90.00 90.00
Sites, in units of the cell vectors:
N: 0.000 0.500 0.000
Co: 0.000 0.000 0.000
N: 0.500 0.000 0.000
I: 0.000 0.000 0.500
H: 0.500 0.500 0.500



No. 2
# AcNd7Ho12

A geometry-optimized AcNd7Ho12 structure (PBE-GGA, the Alexandria database).

ΔE_f, meV/atom: 612
Crystal system: cubic

abc: 9.842 9.842 9.842
angles: 109.47 109.47 109.47
Sites, in units of the cell vectors:
Ho: 0.745 0.999 0.254
Ac: 0.000 0.000 0.000
Ho: 0.746 0.745 0.491
Nd: 0.000 0.500 0.500
Nd: 0.000 0.000 0.500
Ho: 0.745 0.491 0.746
Nd: 0.500 0.500 0.000
Nd: 0.500 0.500 0.500
Nd: 0.000 0.500 0.000
Ho: 0.254 0.745 0.999
Nd: 0.500 0.000 0.500
Ho: 0.746 0.255 0.001
Ho: 0.001 0.746 0.255
Ho: 0.509 0.254 0.255
Nd: 0.500 0.000 0.000
Ho: 0.255 0.509 0.254
Ho: 0.254 0.255 0.509
Ho: 0.255 0.001 0.746
Ho: 0.999 0.254 0.745
Ho: 0.491 0.746 0.745



No. 3
# KRuPt2

A geometry-optimized KRuPt2 structure (PBE-GGA, the Alexandria database).

ΔE_f, meV/atom: 373
Crystal system: monoclinic

abc: 4.387 2.742 6.933
angles: 80.06 90.00 90.00
Sites, in units of the cell vectors:
Ru: 0.000 0.508 0.393
K: 0.500 0.781 0.763
Pt: 0.500 0.056 0.289
Pt: 0.000 0.155 0.055



No. 4
# Li12Hg3Pd

A geometry-optimized Li12Hg3Pd structure (PBE-GGA, the Alexandria database).

ΔE_f, meV/atom: -262
Crystal system: tetragonal

abc: 4.063 4.063 16.376
angles: 90.00 90.00 90.00
Sites, in units of the cell vectors:
Hg: 0.000 0.000 0.500
Li: 0.500 0.500 0.000
Li: 0.500 0.000 0.113
Pd: 0.000 0.000 0.000
Li: 0.500 0.000 0.629
Li: 0.500 0.000 0.371
Li: 0.500 0.500 0.500
Li: 0.500 0.500 0.243
Li: 0.000 0.500 0.371
Li: 0.000 0.500 0.113
Hg: 0.000 0.000 0.240
Li: 0.500 0.000 0.887
Li: 0.000 0.500 0.887
Hg: 0.000 0.000 0.760
Li: 0.500 0.500 0.757
Li: 0.000 0.500 0.629